NaScCdI6: optimized geometry, PBE-GGA.

Total moment in μB per cell: 0.00
DOS(E_F) in states/eV per cell: 0.00
Calculated volume in Å³ per atom: 39.54
Electronic total energy in eV per formula unit: -26.77
Formation energy without anion corrections in eV/atom: -0.990

Cell: 7.569 7.569 14.345 Å, 90.00 90.00 120.00°
Positions (direct):
I  0.364  0.012  0.632
I  0.988  0.636  0.868
I  0.352  0.988  0.132
Sc  0.667  0.333  0.750
I  0.636  0.988  0.368
Cd  0.333  0.667  0.750
I  0.648  0.012  0.868
Na  0.000  0.000  0.000
I  0.636  0.648  0.132
I  0.352  0.364  0.368
I  0.364  0.352  0.868
I  0.988  0.352  0.632
Na  0.000  0.000  0.500
I  0.648  0.636  0.632
Sc  0.333  0.667  0.250
I  0.012  0.364  0.132
I  0.012  0.648  0.368
Cd  0.667  0.333  0.250